Entry 1:
The following is a GGA-PBE calculation of an optimized crystal structure of LaGa3Ru, from the Alexandria database.

Values from the calculation:
Energy above the lowest structure with this stoichiometry = 2186 meV/atom
Fermi-level density of states = 2.367 states/eV per atom
Calculated total energy = -2.952 eV/atom
Space-group type = No. 221
Volume = 32.28 A^3/atom
Energy of formation from the pure elements = 1.71 eV/atom

Cell lengths 5.4444, 5.4444, 5.4444 Å; angles 90.00, 90.00, 90.00 degrees
Fractional positions:
La 0.0000 0.0000 0.0000
Ga 0.0000 0.0000 0.5000
Ga 0.0000 0.5000 0.0000
Ga 0.5000 0.0000 0.0000
Ru 0.5000 0.5000 0.5000


Entry 2:
The following is a GGA-PBE calculation of an optimized crystal structure of La2Ga4Ru3, from the Alexandria database.

Values from the calculation:
Fermi-level density of states = 1.191 states/eV per atom
Calculated total energy = -5.937 eV/atom
Space-group type = No. 69
Volume = 19.64 A^3/atom
Energy of formation from the pure elements = -0.41 eV/atom

Cell lengths 8.1508, 7.0755, 5.6298 Å; angles 78.91, 58.42, 42.67 degrees
Fractional positions:
La 0.1255 0.1255 0.8745
La 0.8745 0.8745 0.1255
Ga 0.1704 0.5157 0.4843
Ga 0.4843 0.8296 0.1704
Ga 0.5157 0.1704 0.8296
Ga 0.8296 0.4843 0.5157
Ru 0.0000 0.0000 0.5000
Ru 0.5000 0.5000 0.0000
Ru 0.5000 0.5000 0.5000


Entry 3:
The following is a GGA-PBE calculation of an optimized crystal structure of La6Ga3Ru, from the Alexandria database.

Values from the calculation:
Fermi-level density of states = 0.857 states/eV per atom
Calculated total energy = -5.168 eV/atom
Space-group type = No. 14
Volume = 28.84 A^3/atom
Energy of formation from the pure elements = -0.38 eV/atom

Cell lengths 5.5345, 9.0758, 12.6678 Å; angles 90.00, 114.98, 90.00 degrees
Fractional positions:
La 0.0346 0.1850 0.0531
La 0.0346 0.3150 0.5531
La 0.2703 0.5093 0.2431
La 0.2703 0.9907 0.7431
La 0.3967 0.1529 0.4308
La 0.3967 0.3471 0.9308
La 0.6033 0.6529 0.0692
La 0.6033 0.8471 0.5692
La 0.7297 0.0093 0.2569
La 0.7297 0.4907 0.7569
La 0.9654 0.6850 0.4469
La 0.9654 0.8150 0.9469
Ga 0.2191 0.6506 0.7443
Ga 0.2191 0.8494 0.2443
Ga 0.5000 0.0000 0.0000
Ga 0.5000 0.5000 0.5000
Ga 0.7809 0.1506 0.7557
Ga 0.7809 0.3494 0.2557
Ru 0.0000 0.0000 0.5000
Ru 0.0000 0.5000 0.0000


> Which of these has the lowest Fermi-level density of states?

La6Ga3Ru


> calculated total energy of number 2 (La2Ga4Ru3)?

-5.937 eV/atom